# Sr6PCl8 (PBE, optimized geometry)
# Formation energy from raw total energies, eV per atom: -2.1250
# Crystal system: trigonal
# D(E_F), states/eV/atom: 0.189
# Total DFT energy (no corrections), eV/atom: -4.14
data_Sr6PCl8
_chemical_formula_sum 'Sr18 P3 Cl24'
_cell_length_a 8.2305
_cell_length_b 8.2305
_cell_length_c 23.3230
_cell_angle_alpha 90.00
_cell_angle_beta 90.00
_cell_angle_gamma 120.00
_symmetry_space_group_name_H-M 'R -3'
_symmetry_Int_Tables_number 148
_symmetry_space_group_name_Hall '-R 3'
loop_
_atom_site_label
_atom_site_type_symbol
_atom_site_fract_x
_atom_site_fract_y
_atom_site_fract_z
_atom_site_occupancy
Sr1 Sr 0.0301 0.6349 0.2473 1
P1 P 0.0000 0.0000 0.5000 1
Cl1 Cl 0.0000 0.0000 0.1493 1
Cl2 Cl 0.0242 0.7292 0.7140 1